## ZrHgIr2 (meta-GGA SCAN)

Data for ZrHgIr2 at its PBEsol-relaxed geometry.

Calculated values
The energy of formation comes out at -0.354 eV per atom. Its density of states at the Fermi level is 0.582 states/eV/f.u. As for the space-group type: Fm-3m. The value obtained for the total moment is 0.0000 μB/atom.

```
data_ZrHgIr2
_chemical_formula_sum 'Zr4 Hg4 Ir8'
_cell_length_a 6.458
_cell_length_b 6.458
_cell_length_c 6.458
_cell_angle_alpha 90.00
_cell_angle_beta 90.00
_cell_angle_gamma 90.00
_space_group_name_H-M_alt 'P 1'
_space_group_IT_number 1
loop_
_space_group_symop_operation_xyz
'x,y,z'
loop_
_atom_site_label
_atom_site_type_symbol
_atom_site_fract_x
_atom_site_fract_y
_atom_site_fract_z
Zr1 Zr 0.000 0.000 0.000
Zr2 Zr 0.000 0.500 0.500
Zr3 Zr 0.500 0.000 0.500
Zr4 Zr 0.500 0.500 0.000
Hg1 Hg 0.000 0.000 0.500
Hg2 Hg 0.000 0.500 0.000
Hg3 Hg 0.500 0.000 0.000
Hg4 Hg 0.500 0.500 0.500
Ir1 Ir 0.250 0.250 0.250
Ir2 Ir 0.250 0.250 0.750
Ir3 Ir 0.250 0.750 0.250
Ir4 Ir 0.250 0.750 0.750
Ir5 Ir 0.750 0.250 0.250
Ir6 Ir 0.750 0.250 0.750
Ir7 Ir 0.750 0.750 0.250
Ir8 Ir 0.750 0.750 0.750
```